(1)
The following is a DFT calculation (PBE) of a geometry-optimized Cs2Si2Au structure.

Values from the calculation:
relative energy among the computed polymorphs: 0.0 meV per atom
mass density: 5.2 g cm⁻³

a b c (Å): 11.968 8.224 7.036
angles (deg): 90.00 105.88 90.00
Space group C2/c (No. 15)
Asymmetric unit:
Cs 0.187 0.030 0.487
Si 0.048 0.364 0.116
Au 0.000 0.353 0.750

=====

(2)
The following is a DFT calculation (PBE) of a geometry-optimized CsSiAu3 structure.

Values from the calculation:
relative energy among the computed polymorphs: 106.0 meV per atom
mass density: 8.7 g cm⁻³

a b c (Å): 4.890 7.215 8.179
angles (deg): 90.00 94.62 90.00
Space group P2_1/m (No. 11)
Asymmetric unit:
Cs 0.206 0.250 0.116
Si 0.022 0.250 0.648
Au 0.247 0.556 0.589
Au 0.450 0.750 0.282

=====

(3)
The following is a DFT calculation (PBE) of a geometry-optimized CsSiAu3 structure.

Values from the calculation:
relative energy among the computed polymorphs: 129.7 meV per atom
mass density: 8.6 g cm⁻³

a b c (Å): 11.197 7.535 6.877
angles (deg): 90.00 91.31 90.00
Space group C2 (No. 5)
Asymmetric unit:
Cs 0.171 0.000 0.490
Si 0.113 0.501 0.004
Au 0.000 0.177 0.000
Au 0.000 0.824 0.000
Au 0.001 0.501 0.312
Au 0.250 0.251 0.000

=====

(4)
The following is a DFT calculation (PBE) of a geometry-optimized CsSiAu structure.

Values from the calculation:
relative energy among the computed polymorphs: 95.8 meV per atom
mass density: 6.3 g cm⁻³

a b c (Å): 5.856 3.954 8.137
angles (deg): 90.00 90.05 90.00
Space group P2_1/m (No. 11)
Asymmetric unit:
Cs 0.000 0.250 0.243
Si 0.499 0.250 0.576
Au 0.500 0.250 0.876

=====

(5)
The following is a DFT calculation (PBE) of a geometry-optimized CsSi2Au2 structure.

Values from the calculation:
relative energy among the computed polymorphs: 16.3 meV per atom
mass density: 7.0 g cm⁻³

a b c (Å): 4.502 4.502 13.737
angles (deg): 90.00 90.00 90.00
Space group I4/mmm (No. 139)
Asymmetric unit:
Cs 0.000 0.000 0.000
Si 0.000 0.000 0.334
Au 0.000 0.500 0.250

=====

(6)
The following is a DFT calculation (PBE) of a geometry-optimized CsSi3Au2 structure.

Values from the calculation:
mass density: 6.6 g cm⁻³

a b c (Å): 12.072 8.437 8.504
angles (deg): 90.00 134.64 90.00
Space group C2/c (No. 15)
Asymmetric unit:
Cs 0.000 0.128 0.250
Si 0.000 0.374 0.750
Si 0.249 0.250 0.136
Au 0.169 0.500 0.170

=====

(7)
The following is a DFT calculation (PBE) of a geometry-optimized CsSiAu3 structure.

Values from the calculation:
relative energy among the computed polymorphs: 155.9 meV per atom
mass density: 7.8 g cm⁻³

a b c (Å): 6.8654 6.8654 23.6112
angles (deg): 90.00 90.00 120.00
Space group R-3m (No. 166, hexagonal axes)
Asymmetric unit:
Cs 0.0000 0.0000 0.1194
Si 0.0000 0.0000 0.3878
Au 0.0640 0.5320 0.9397

=====

(8)
The following is a DFT calculation (PBE) of a geometry-optimized CsSiAu3 structure.

Values from the calculation:
relative energy among the computed polymorphs: 63.7 meV per atom
mass density: 9.9 g cm⁻³

a b c (Å): 6.9471 6.9471 9.0216
angles (deg): 90.00 90.00 120.00
Space group R3m (No. 160, hexagonal axes)
Asymmetric unit:
Cs 0.0000 0.0000 0.0000
Si 0.0000 0.0000 0.5849
Au 0.0491 0.5245 0.0223

=====

| no. | formation energy from raw total energies (eV/atom) | total moment (μB/f.u.) | total DFT energy (no corrections) (eV per atom) |
| --- | --- | --- | --- |
| 1 | 0.01 | 0.00 | -3.15 |
| 2 | -0.19 | 0.00 | -3.41 |
| 3 | -0.16 | 0.00 | -3.38 |
| 4 | -0.13 | 0.00 | -3.31 |
| 5 | -0.05 | 0.00 | -3.70 |
| 6 | -0.05 | 0.00 | -3.99 |
| 7 | -0.14 | 0.00 | -3.36 |
| 8 | -0.23 | 0.00 | -3.45 |